No. 1
VASP calculation (PBE-GGA) on a relaxed structure of Mg2BiS.

Calculated values
E (eV/atom): -3.470
Density of states at the Fermi level (states/eV per atom): 0.21
Space group: R3m

```
4
Lattice="3.766 0.000 0.000 1.883 3.261 0.000 1.883 1.087 7.465" Properties=species:S:1:pos:R:3 pbc="T T T"
Mg 1.883 1.087 5.954
Mg 1.883 1.087 1.519
Bi 3.766 2.174 3.749
S 5.649 3.261 7.442
```

---

No. 2
VASP calculation (PBE-GGA) on a relaxed structure of LiTiN2.

Calculated values
E (eV/atom): -7.229
Density of states at the Fermi level (states/eV per atom): 0.68
Space group: I-42d

```
8
Lattice="-2.824 2.438 -2.893 -0.782 -3.908 -2.530 -5.413 -1.744 -0.038" Properties=species:S:1:pos:R:3 pbc="T T T"
N -3.340 0.706 -2.261
N -2.071 -2.681 -1.825
N -5.378 -1.688 -1.951
N -7.249 -2.766 -4.885
Li -1.803 -0.735 -2.712
Li -3.999 -3.194 -2.640
Ti 0.000 0.000 0.000
Ti -5.020 -0.021 -2.821
```

---

No. 3
VASP calculation (PBE-GGA) on a relaxed structure of Sc2CuTc.

Calculated values
E (eV/atom): -6.895
Density of states at the Fermi level (states/eV per atom): 0.78
Space group: Imm2

```
4
Lattice="-0.286 -4.658 2.665 3.933 -3.573 -0.802 -0.920 5.072 1.522" Properties=species:S:1:pos:R:3 pbc="T T T"
Cu 2.475 -1.435 0.854
Sc 0.041 -0.093 0.021
Sc 0.252 -1.722 2.530
Tc 1.784 -4.026 0.911
```

---

No. 4
VASP calculation (PBE-GGA) on a relaxed structure of NaCr2N.

Calculated values
E (eV/atom): -6.923
Density of states at the Fermi level (states/eV per atom): 0.86
Space group: I4_1/amd

```
8
Lattice="6.163 0.000 0.000 0.000 6.163 0.000 3.081 3.081 4.365" Properties=species:S:1:pos:R:3 pbc="T T T"
Cr 3.083 1.541 1.091
Cr 3.079 4.622 1.091
Cr 4.622 6.161 3.274
Cr 7.703 6.165 3.274
N 3.081 3.081 0.000
N 3.081 6.163 2.182
Na 0.000 0.000 0.000
Na 6.163 3.081 2.182
```

---

No. 5
VASP calculation (PBE-GGA) on a relaxed structure of Sr5Ca4.

Calculated values
E (eV/atom): -1.810
Density of states at the Fermi level (states/eV per atom): 1.24
Space group: Immm

```
9
Lattice="5.758 0.003 0.003 2.869 8.712 -0.577 2.869 0.576 8.712" Properties=species:S:1:pos:R:3 pbc="T T T"
Sr 2.869 8.669 -0.528
Sr 2.869 3.331 5.566
Sr 2.869 6.000 2.519
Sr 2.875 2.954 -0.148
Sr 8.621 9.049 5.190
Ca 5.744 6.193 5.432
Ca 2.876 0.201 2.905
Ca 8.620 6.385 8.322
Ca 5.751 3.090 2.714
```

---

No. 6
VASP calculation (PBE-GGA) on a relaxed structure of YSc2TlGa.

Calculated values
E (eV/atom): -4.393
Density of states at the Fermi level (states/eV per atom): 1.45
Space group: P4/mmm

```
5
Lattice="-4.321 1.570 2.829 -2.011 -5.001 -0.297 2.439 -1.243 4.415" Properties=species:S:1:pos:R:3 pbc="T T T"
Y -1.946 -2.337 3.474
Sc -1.005 -2.500 -0.148
Sc -2.161 0.785 1.415
Tl 0.000 0.000 0.000
Ga 1.220 -0.622 2.208
```

---

No. 7
VASP calculation (PBE-GGA) on a relaxed structure of PuInGePt.

Calculated values
E (eV/atom): -7.359
Density of states at the Fermi level (states/eV per atom): 2.82
Space group: F-43m

```
4
Lattice="-0.396 4.365 -2.168 -4.003 2.721 0.695 0.256 4.088 2.670" Properties=species:S:1:pos:R:3 pbc="T T T"
Ge -1.036 2.793 0.299
In 0.000 0.000 0.000
Pt -3.107 8.380 0.897
Pu -2.071 5.587 0.598
```

---

No. 8
VASP calculation (PBE-GGA) on a relaxed structure of Cs6IBr2Cl3.

Calculated values
E (eV/atom): -3.128
Density of states at the Fermi level (states/eV per atom): 0.00
Space group: C2/m

```
12
Lattice="-2.569 3.450 2.776 3.837 -4.194 8.763 8.833 6.206 -4.258" Properties=species:S:1:pos:R:3 pbc="T T T"
Cs 8.444 1.301 6.197
Cs 3.469 1.899 5.570
Cs 1.657 4.160 1.083
Cs 7.266 8.470 0.917
Cs 2.836 -3.008 6.363
Cs 6.632 3.562 1.710
I -1.284 1.725 1.388
Br 6.328 4.217 5.334
Br 3.774 1.244 1.946
Cl 0.634 -0.372 5.769
Cl 4.418 6.312 0.964
Cl 5.683 -0.850 6.316
```

---

Q: density of states at the Fermi level of number 8 (Cs6IBr2Cl3)?
A: 0.00 states/eV per atom

---

Q: Look up the density of states at the Fermi level of the first one.
A: 0.21 states/eV per atom

---

Q: What is the E in the sixth record?
A: -4.393 eV/atom

---

Q: Which of these has the highest E?
A: Sr5Ca4